(1)
First-principles (PBE) data for a geometry-optimized FeNiAs2 structure, as listed in Alexandria. Values from VASP.

Structure (Quantum ESPRESSO input):
```
&SYSTEM
  ibrav = 0, nat = 4, ntyp = 3
/
ATOMIC_SPECIES
Ni 58.69 Ni.upf
As 74.92 As.upf
Fe 55.84 Fe.upf
ATOMIC_POSITIONS crystal
Ni 0.500 0.500 0.500
As 0.250 0.250 0.250
As 0.750 0.750 0.750
Fe 0.000 0.000 0.000
CELL_PARAMETERS angstrom
0.000 3.035 3.035
3.035 0.000 3.035
3.035 3.035 0.000
```

**Calculated density**: 7.85 g/cm³
**Symmetry**: Fm-3m (225)
**Raw total energy**: -5.780 eV per atom
**Formation energy**: 0.11 eV/atom
**Magnetization**: 2.4 μB per formula unit
**E above lowest polymorph**: 0.66 eV/f.u.

***

(2)
First-principles (PBE) data for a geometry-optimized Np2FeNi3As4 structure, as listed in Alexandria. Values from VASP.

Structure (Quantum ESPRESSO input):
```
&SYSTEM
  ibrav = 0, nat = 10, ntyp = 4
/
ATOMIC_SPECIES
Np 237.00 Np.upf
Fe 55.84 Fe.upf
Ni 58.69 Ni.upf
As 74.92 As.upf
ATOMIC_POSITIONS crystal
Np 0.500 0.000 0.250
Np 0.000 0.500 0.750
Fe 0.500 0.500 0.500
Ni 0.000 0.000 0.500
Ni 0.500 0.000 0.881
Ni 0.000 0.500 0.119
As 0.500 0.500 0.000
As 0.000 0.000 0.000
As 0.500 0.000 0.632
As 0.000 0.500 0.368
CELL_PARAMETERS angstrom
-1.072 -3.868 1.103
3.230 -1.508 -2.149
5.374 0.677 7.601
```

**Calculated density**: 10.33 g/cm³
**Symmetry**: P-4m2 (115)
**Raw total energy**: -7.468 eV per atom
**Formation energy**: -0.44 eV/atom
**Magnetization**: 9.1 μB per formula unit